Run w
The following is a DFT calculation (PBE) of LiCdNF2 after structural relaxation.

a = 3.674 Å, b = 3.674 Å, c = 4.231 Å
α = 90.00°, β = 90.00°, γ = 90.00°
Last column: magnetic moment on the atom in μB.
Fractional coordinates of all 5 atoms:
F (0.000, 0.500, 0.000)  0.10
Li (0.000, 0.000, 0.000)  0.03
F (0.500, 0.000, 0.000)  0.10
Cd (0.500, 0.500, 0.500)  -0.02
N (0.000, 0.000, 0.500)  1.26

Space group: P4/mmm, No. 123
DOS at the Fermi energy in states/eV/atom: 0.2671



Run x
The following is a DFT calculation (PBE) of LiCdNF2 after structural relaxation.

a = 4.564 Å, b = 4.564 Å, c = 4.329 Å
α = 90.00°, β = 90.00°, γ = 90.00°
Last column: magnetic moment on the atom in μB.
Fractional coordinates of all 5 atoms:
Cd (0.000, 0.000, 0.000)  0.04
Li (0.500, 0.500, 0.500)  0.00
F (0.500, 0.000, 0.000)  0.05
N (0.000, 0.000, 0.500)  1.19
F (0.000, 0.500, 0.000)  0.05

Space group: P4/mmm, No. 123
DOS at the Fermi energy in states/eV/atom: 0.2420



In terms of stability, run w leads; the second structure lies 10.3 kJ/mol of atoms higher.